! Li2Tm2AlPd5 (GGA-PBE, relaxed); values from VASP
&SYSTEM
  ibrav = 0, nat = 20, ntyp = 4
/
ATOMIC_SPECIES
Li 6.94 Li.upf
Tm 168.93 Tm.upf
Pd 106.42 Pd.upf
Al 26.98 Al.upf
CELL_PARAMETERS angstrom
3.4993 0.0000 0.0000
0.0000 9.6213 0.0000
0.0000 0.0000 9.6213
ATOMIC_POSITIONS angstrom
Li 0.0000 8.4329 3.6222
Tm 0.0000 3.1188 7.9295
Pd 1.7497 6.7485 4.1830
Pd 1.7497 0.0000 4.8107
Li 0.0000 3.6222 1.1884
Pd 1.7497 5.4383 6.7485
Al 0.0000 0.0000 0.0000
Pd 1.7497 4.8107 0.0000
Pd 1.7497 7.6835 8.9936
Pd 1.7497 4.1830 2.8728
Pd 1.7497 1.9379 0.6277
Pd 1.7497 8.9936 1.9379
Tm 0.0000 6.5025 1.6918
Li 0.0000 5.9991 8.4329
Tm 0.0000 7.9295 6.5025
Tm 0.0000 1.6918 3.1188
Pd 1.7497 2.8728 5.4383
Pd 1.7497 0.6277 7.6835
Al 0.0000 4.8107 4.8107
Li 0.0000 1.1884 5.9991
! DFT total energy = -49.9 eV/f.u.
! total magnetic moment = 0.000 μB/f.u.
! density of states at the Fermi level = 1.7 states/eV/f.u.
! volume = 16.196 A^3/atom

=====

! InAg3Au6 (GGA-PBE, relaxed); values from VASP
&SYSTEM
  ibrav = 0, nat = 20, ntyp = 3
/
ATOMIC_SPECIES
Au 196.97 Au.upf
Ag 107.87 Ag.upf
In 114.82 In.upf
CELL_PARAMETERS angstrom
7.3560 0.0000 -0.0921
0.0000 7.2898 0.0000
0.1146 0.0000 7.2763
ATOMIC_POSITIONS angstrom
Au 1.5950 4.7226 5.4551
Au 4.7799 0.9604 3.9129
Au 4.8181 0.9687 6.8578
Ag 3.0547 1.4315 1.7670
Ag 0.6806 5.0764 1.8250
Au 5.8756 2.5672 1.7291
Au 1.0446 2.6845 0.3208
Au 6.4260 4.6053 6.8634
Au 2.6525 6.3211 0.3264
Au 1.0828 2.6762 3.2657
Au 6.3878 4.6136 3.9185
Ag 4.4159 5.8583 5.4171
Ag 6.7900 2.2134 5.3591
Ag 0.0573 0.0000 3.6381
Ag 3.6780 3.6449 -0.0460
Au 5.2156 6.2121 1.7710
In 0.0000 0.0000 0.0000
Au 2.2549 1.0777 5.4132
In 3.7353 3.6449 3.5921
Au 2.6907 6.3294 3.2713
! relative energy among the computed polymorphs = 0.067 eV/atom
! total magnetic moment = 0.000 μB/f.u.
! density of states at the Fermi level = 2.9 states/eV/f.u.
! volume = 19.513 A^3/atom

=====

! Tc2AgOs (GGA-PBE, relaxed); values from VASP
&SYSTEM
  ibrav = 0, nat = 8, ntyp = 3
/
ATOMIC_SPECIES
Os 190.23 Os.upf
Ag 107.87 Ag.upf
Tc 98.00 Tc.upf
CELL_PARAMETERS angstrom
-0.3389 -7.2184 0.4420
6.8375 -0.4640 -2.3343
4.1182 -3.7275 1.5764
ATOMIC_POSITIONS angstrom
Os 0.0000 0.0000 0.0000
Ag 3.2493 -3.8412 -0.9462
Tc 9.1251 -9.5415 -0.5930
Ag 7.1025 -4.0163 -0.8520
Tc 5.2780 -1.7545 -1.0322
Os 3.5143 -7.3936 0.5361
Tc 1.6551 -5.8711 0.4012
Tc 5.1755 -5.6528 0.5922
! relative energy among the computed polymorphs = 0.633 eV/atom
! total magnetic moment = 0.000 μB/f.u.
! density of states at the Fermi level = 4.9 states/eV/f.u.
! volume = 17.497 A^3/atom

=====

! LaPrNd5 (GGA-PBE, relaxed); values from VASP
&SYSTEM
  ibrav = 0, nat = 14, ntyp = 3
/
ATOMIC_SPECIES
La 138.91 La.upf
Nd 144.24 Nd.upf
Pr 140.91 Pr.upf
CELL_PARAMETERS angstrom
6.9356 0.6669 0.9065
2.8328 6.3657 0.9065
4.6520 3.3491 12.7501
ATOMIC_POSITIONS angstrom
La 9.2706 4.7816 10.4691
Nd 6.6771 4.6042 1.2294
Nd 7.7432 5.7775 13.3337
Nd 8.8107 6.5460 7.6045
La 5.1497 5.6002 4.0940
Nd 5.7268 5.1776 10.0503
Nd 6.9735 7.9723 10.4691
Nd 4.4011 2.1138 3.6752
Nd 10.0193 8.2679 10.8879
Nd 5.6096 3.8357 6.9587
Pr 0.0000 0.0000 0.0000
Nd 7.4468 2.4095 4.0940
Nd 8.6935 5.2041 4.5128
Pr 2.3260 1.6746 6.3750
! DFT total energy = -32.5 eV/f.u.
! total magnetic moment = 0.000 μB/f.u.
! density of states at the Fermi level = 10.3 states/eV/f.u.
! volume = 35.881 A^3/atom

=====

! LiThPb (GGA-PBE, relaxed); values from VASP
&SYSTEM
  ibrav = 0, nat = 6, ntyp = 3
/
ATOMIC_SPECIES
Pb 207.20 Pb.upf
Li 6.94 Li.upf
Th 232.04 Th.upf
CELL_PARAMETERS angstrom
5.7566 0.2216 0.6654
-0.0142 3.2755 -0.9686
1.2531 0.7494 8.5393
ATOMIC_POSITIONS angstrom
Pb 1.2371 2.1890 1.3616
Li 4.9772 3.0147 4.0994
Li 2.0183 1.2319 4.1368
Th 4.1938 0.5114 1.6682
Th 2.8017 3.7352 6.5679
Pb 5.7584 2.0576 6.8745
! DFT total energy = -13.5 eV/f.u.
! total magnetic moment = 0.000 μB/f.u.
! density of states at the Fermi level = 2.0 states/eV/f.u.
! volume = 27.036 A^3/atom

=====

! GdErBeGa (GGA-PBE, relaxed); values from VASP
&SYSTEM
  ibrav = 0, nat = 4, ntyp = 4
/
ATOMIC_SPECIES
Er 167.26 Er.upf
Gd 157.25 Gd.upf
Ga 69.72 Ga.upf
Be 9.01 Be.upf
CELL_PARAMETERS angstrom
-3.7397 -3.1615 -0.7166
-0.6565 -2.0915 -4.4372
0.9215 -4.8225 -0.6233
ATOMIC_POSITIONS angstrom
Er 0.0000 0.0000 0.0000
Gd -1.7374 -5.0377 -2.8885
Ga -0.8687 -2.5189 -1.4443
Be -2.6061 -7.5566 -4.3328
! DFT total energy = -26.3 eV/f.u.
! total magnetic moment = 7.382 μB/f.u.
! density of states at the Fermi level = 3.8 states/eV/f.u.
! volume = 21.430 A^3/atom

=====

! TaAgP4O13 (GGA-PBE, relaxed); values from VASP
&SYSTEM
  ibrav = 0, nat = 76, ntyp = 4
/
ATOMIC_SPECIES
P 30.97 P.upf
O 16.00 O.upf
Ta 180.95 Ta.upf
Ag 107.87 Ag.upf
CELL_PARAMETERS angstrom
-6.0734 2.4891 -2.9900
1.2836 -4.9214 -6.7044
-9.3236 -13.2290 7.9258
ATOMIC_POSITIONS angstrom
P -5.6593 -12.9853 -0.9897
P -3.8750 -1.7321 -0.5951
O -6.7035 -6.9445 -2.4957
P -7.8535 -11.0785 -0.2517
O -7.3173 -6.3971 0.9570
Ta -7.7501 -10.1412 3.1068
P -7.9721 -16.4075 1.1647
O -0.8146 -2.6992 -1.8108
O -5.7763 -9.9776 2.7829
O -8.3951 -7.2752 -5.1844
O -2.0462 -7.4790 -3.3197
Ta -6.8959 -3.1041 -1.4694
P -1.7430 -3.7270 -1.2802
O -11.0765 -11.1571 -2.7294
O -9.1817 -15.4012 0.8495
P -5.9451 -5.9020 -3.2118
O -4.7297 -2.5406 -6.1867
O -9.9556 -13.8780 2.7874
O -4.5857 -3.8057 -8.4347
O -2.2079 -2.3676 -6.3041
O -4.8706 -11.9551 -1.6909
O -6.3834 -5.6824 -4.7489
O -9.1594 -12.5120 6.8140
O -2.2135 -4.8022 -2.3018
O -4.2758 -7.5038 -0.3793
O -2.8779 -6.5404 -5.7695
P -6.3804 -5.1462 1.3463
O -7.4201 -9.2606 4.8340
P -5.2684 -2.7357 -7.6881
P -11.1749 -10.2266 3.7683
O -6.0639 -4.4609 -2.6245
P -7.4555 -6.2904 -5.7736
O -10.1764 -13.7631 -2.2864
O -9.4050 -7.5976 0.3598
Ta -2.6075 -5.7442 -3.9918
O -9.6345 -10.2837 3.5595
O -13.5129 -11.8228 1.8388
O -6.3919 -4.2833 0.0743
P -3.9972 -7.0245 0.9848
P -10.4554 -7.2017 -0.7869
P -12.7475 -10.7032 1.2595
O -9.2613 -11.5299 -0.7356
O -7.0432 -12.4580 -0.3498
Ag -4.6915 0.6794 -3.7922
Ag -8.0666 -8.8643 -3.2049
O -10.1077 -7.8780 -2.0506
O -10.3919 -5.5928 -0.8276
O -8.6475 -4.0609 -1.6835
O -3.1399 -0.6001 -1.1893
O -5.2510 -2.0923 -1.2335
P -3.4190 -2.5671 -5.2613
P -8.6197 -7.0525 1.6516
O -3.5192 -1.5397 -4.2080
O -7.9867 -10.8599 1.2831
P -10.3417 -14.5098 1.5146
O -5.4406 -9.3929 -4.0925
O -0.7146 -5.3289 -4.5153
O -11.6776 -10.0266 2.2596
O -3.2529 -4.0231 -4.7971
Ag -10.6490 -13.6400 5.0877
O -7.8504 -1.8973 -0.2320
O -12.8058 -13.0386 -1.5973
O -9.4099 -6.1350 2.4894
O -4.4137 -6.1376 -3.3851
O -10.7889 -13.5997 0.3634
Ta -10.9735 -12.3330 -1.1828
O -7.2850 -2.0299 -3.0413
O -8.3098 -16.9650 2.6375
O -11.8649 -11.0606 0.0230
O -7.2627 -9.9508 -1.0126
O -3.1227 -3.1555 -0.6981
O -11.7546 -11.3973 4.4706
O -7.4857 -11.9355 3.8109
O -8.0759 -8.3330 2.2982
Ag -4.8198 -9.4975 -1.6278
O -4.9105 -5.7832 1.4403
! total magnetic moment = 0.085 μB/f.u.
! density of states at the Fermi level = 0.0 states/eV/f.u.
! volume = 14.392 A^3/atom
! formation energy (no corrections) = -2.113 eV/atom

=====

! Mg2HIr (GGA-PBE, relaxed); values from VASP
&SYSTEM
  ibrav = 0, nat = 4, ntyp = 3
/
ATOMIC_SPECIES
Ir 192.22 Ir.upf
Mg 24.30 Mg.upf
H 1.01 H.upf
CELL_PARAMETERS angstrom
0.0000 3.0914 3.0914
3.0914 0.0000 3.0914
3.0914 3.0914 0.0000
ATOMIC_POSITIONS angstrom
Ir 3.0914 3.0914 3.0914
Mg 1.5457 1.5457 1.5457
Mg 4.6370 4.6370 4.6370
H 0.0000 0.0000 0.0000
! relative energy among the computed polymorphs = 0.545 eV/atom
! total magnetic moment = 0.000 μB/f.u.
! density of states at the Fermi level = 0.8 states/eV/f.u.
! volume = 14.771 A^3/atom

=====

! NaMnPt (GGA-PBE, relaxed); values from VASP
&SYSTEM
  ibrav = 0, nat = 6, ntyp = 3
/
ATOMIC_SPECIES
Pt 195.08 Pt.upf
Na 22.99 Na.upf
Mn 54.94 Mn.upf
CELL_PARAMETERS angstrom
-2.7961 1.2021 -1.0297
-0.9427 -2.9438 -0.8769
-4.3381 -1.5730 9.9437
ATOMIC_POSITIONS angstrom
Pt -3.4311 -2.5451 6.3458
Na -5.1230 -0.7496 8.0233
Mn -2.1691 -0.7865 4.9719
Pt -2.7764 0.1013 2.6446
Na -1.0845 -1.6942 0.9671
Mn -4.0384 -1.6573 4.0185
! relative energy among the computed polymorphs = 0.345 eV/atom
! total magnetic moment = 0.852 μB/f.u.
! density of states at the Fermi level = 2.1 states/eV/f.u.
! volume = 18.861 A^3/atom

=====

! TiPS2Cl (GGA-PBE, relaxed); values from VASP
&SYSTEM
  ibrav = 0, nat = 5, ntyp = 4
/
ATOMIC_SPECIES
S 32.06 S.upf
Ti 47.87 Ti.upf
P 30.97 P.upf
Cl 35.45 Cl.upf
CELL_PARAMETERS angstrom
-0.3494 3.2067 -3.2382
3.0344 -2.2594 -2.5649
-3.3532 -2.3135 -1.9291
ATOMIC_POSITIONS angstrom
S 1.5172 -1.1297 -1.2824
Ti -0.3341 -0.6831 -3.8661
S -0.1747 1.6033 -1.6191
P -1.6766 -1.1567 -0.9646
Cl 0.0000 0.0000 0.0000
! relative energy among the computed polymorphs = 1.010 eV/atom
! total magnetic moment = 0.000 μB/f.u.
! density of states at the Fermi level = 5.9 states/eV/f.u.
! volume = 18.833 A^3/atom
! formation energy (no corrections) = 0.957 eV/atom

=====

! TaSiSb (GGA-PBE, relaxed); values from VASP
&SYSTEM
  ibrav = 0, nat = 3, ntyp = 3
/
ATOMIC_SPECIES
Sb 121.76 Sb.upf
Ta 180.95 Ta.upf
Si 28.09 Si.upf
CELL_PARAMETERS angstrom
4.5815 0.0000 0.0000
-2.2908 3.9677 0.0000
0.0000 0.0000 3.1705
ATOMIC_POSITIONS angstrom
Sb 0.0000 0.0000 3.1703
Ta 0.0000 2.6451 1.5852
Si 2.2908 1.3226 1.5855
! total magnetic moment = 0.000 μB/f.u.
! density of states at the Fermi level = 1.2 states/eV/f.u.
! volume = 19.211 A^3/atom
! formation energy (no corrections) = 0.280 eV/atom

=====

! CaSm8Bi6 (GGA-PBE, relaxed); values from VASP
&SYSTEM
  ibrav = 0, nat = 15, ntyp = 3
/
ATOMIC_SPECIES
Ca 40.08 Ca.upf
Bi 208.98 Bi.upf
Sm 150.36 Sm.upf
CELL_PARAMETERS angstrom
8.4230 0.0000 0.0000
4.2115 7.2946 0.0000
4.2115 2.4315 8.4874
ATOMIC_POSITIONS angstrom
Ca 0.0000 0.0000 0.0000
Bi 6.9913 7.2645 6.7542
Bi 7.0592 2.4224 6.7542
Sm 6.9552 7.2820 3.1131
Bi 9.7869 7.3037 1.7332
Sm 9.7840 7.3437 5.3743
Sm 8.4230 4.8630 0.0018
Bi 9.8548 2.4616 1.7332
Sm 5.5942 4.8014 5.3743
Sm 8.4230 4.8630 8.4856
Sm 11.2518 4.9247 3.1131
Bi 5.6274 4.8238 1.7332
Bi 11.2186 4.9023 6.7542
Sm 7.0620 2.3824 3.1131
Sm 9.8908 2.4440 5.3743
! DFT total energy = -71.7 eV/f.u.
! total magnetic moment = 0.005 μB/f.u.
! density of states at the Fermi level = 17.0 states/eV/f.u.
! volume = 34.766 A^3/atom

=====

! TaAs3Pt (GGA-PBE, relaxed); values from VASP
&SYSTEM
  ibrav = 0, nat = 5, ntyp = 3
/
ATOMIC_SPECIES
Ta 180.95 Ta.upf
Pt 195.08 Pt.upf
As 74.92 As.upf
CELL_PARAMETERS angstrom
4.8083 0.0000 0.0000
0.0000 4.8083 0.0000
0.0000 0.0000 4.8083
ATOMIC_POSITIONS angstrom
Ta 2.4042 2.4042 2.4042
Pt 0.0000 0.0000 0.0000
As 0.0000 2.4042 0.0000
As 2.4042 0.0000 0.0000
As 0.0000 0.0000 2.4042
! relative energy among the computed polymorphs = 0.315 eV/atom
! total magnetic moment = 0.000 μB/f.u.
! density of states at the Fermi level = 5.9 states/eV/f.u.
! volume = 22.233 A^3/atom

=====

! LiCuNi2 (GGA-PBE, relaxed); values from VASP
&SYSTEM
  ibrav = 0, nat = 4, ntyp = 3
/
ATOMIC_SPECIES
Li 6.94 Li.upf
Cu 63.55 Cu.upf
Ni 58.69 Ni.upf
CELL_PARAMETERS angstrom
-3.3286 -2.0752 -0.7452
-0.0360 -2.7406 -2.9033
-0.1811 -3.8809 0.9203
ATOMIC_POSITIONS angstrom
Li -2.6593 -6.5225 -2.0462
Cu -1.7729 -4.3483 -1.3641
Ni 0.0000 0.0000 0.0000
Ni -0.8864 -2.1742 -0.6821
! DFT total energy = -17.4 eV/f.u.
! total magnetic moment = 0.401 μB/f.u.
! density of states at the Fermi level = 5.9 states/eV/f.u.
! volume = 11.251 A^3/atom

=====

! Pr5TlIn (GGA-PBE, relaxed); values from VASP
&SYSTEM
  ibrav = 0, nat = 14, ntyp = 3
/
ATOMIC_SPECIES
Tl 204.38 Tl.upf
Pr 140.91 Pr.upf
In 114.82 In.upf
CELL_PARAMETERS angstrom
-3.8109 -0.4774 -4.9656
-4.1827 -3.1109 3.4980
-2.7915 11.2689 3.3837
ATOMIC_POSITIONS angstrom
Tl 0.0000 0.0000 0.0000
Pr -5.1376 -2.2071 0.3918
Pr -5.6475 9.8877 1.5243
Pr -6.2399 5.5988 5.2066
Pr -6.4290 4.1660 -0.2904
Pr -2.8276 0.0285 2.3841
Pr -7.9574 7.6521 -0.4680
In -6.1041 6.5605 2.1159
Pr -4.3560 3.5146 2.2065
In -4.6810 1.1201 -0.1998
Tl -1.3957 5.6344 1.6919
Pr -6.7616 0.6021 2.3897
Pr -4.5452 2.0818 -3.2905
Pr -4.0235 7.0785 -0.4737
! DFT total energy = -30.0 eV/f.u.
! total magnetic moment = 0.000 μB/f.u.
! density of states at the Fermi level = 7.6 states/eV/f.u.
! volume = 33.244 A^3/atom

=====

! ZnOsBr2 (GGA-PBE, relaxed); values from VASP
&SYSTEM
  ibrav = 0, nat = 4, ntyp = 3
/
ATOMIC_SPECIES
Br 79.90 Br.upf
Os 190.23 Os.upf
Zn 65.41 Zn.upf
CELL_PARAMETERS angstrom
3.0877 0.0000 0.0000
0.0000 3.0877 0.0000
0.0000 0.0000 8.6483
ATOMIC_POSITIONS angstrom
Br 1.5439 1.5439 2.8588
Os 0.0000 0.0000 4.4907
Zn 1.5439 1.5439 6.1054
Br 0.0000 0.0000 8.1660
! relative energy among the computed polymorphs = 0.408 eV/atom
! total magnetic moment = 0.000 μB/f.u.
! density of states at the Fermi level = 3.4 states/eV/f.u.
! volume = 20.614 A^3/atom
! formation energy (no corrections) = 0.592 eV/atom

=====

! Ba3CeU2O9 (GGA-PBE, relaxed); values from VASP
&SYSTEM
  ibrav = 0, nat = 15, ntyp = 4
/
ATOMIC_SPECIES
O 16.00 O.upf
Ba 137.33 Ba.upf
U 238.03 U.upf
Ce 140.12 Ce.upf
CELL_PARAMETERS angstrom
6.3264 0.0000 0.0000
-3.1632 5.4788 0.0000
0.0000 0.0000 7.7498
ATOMIC_POSITIONS angstrom
O -1.5816 2.7394 0.0000
O 0.0000 1.8792 2.5336
O -1.5357 4.5392 2.5336
Ba 3.1632 1.8263 2.6119
O 1.5357 4.5392 2.5336
Ba 0.0000 3.6525 5.1379
O 1.5816 2.7394 0.0000
U 0.0000 3.6525 1.2759
O 3.1632 3.5996 5.2162
U 3.1632 1.8263 6.4739
Ce 0.0000 0.0000 3.8749
O 4.6989 0.9396 5.2162
O 3.1632 0.0000 0.0000
O 1.6275 0.9396 5.2162
Ba 0.0000 0.0000 0.0000
! total magnetic moment = 4.002 μB/f.u.
! density of states at the Fermi level = 13.9 states/eV/f.u.
! volume = 17.908 A^3/atom
! formation energy (no corrections) = -3.096 eV/atom

=====

! AcPm5Se6 (GGA-PBE, relaxed); values from VASP
&SYSTEM
  ibrav = 0, nat = 12, ntyp = 3
/
ATOMIC_SPECIES
Se 78.96 Se.upf
Ac 227.00 Ac.upf
Pm 145.00 Pm.upf
CELL_PARAMETERS angstrom
7.2600 0.1890 1.1095
1.7959 6.1502 3.5874
0.1259 0.0534 7.3605
ATOMIC_POSITIONS angstrom
Se 2.9376 3.5818 4.8549
Se 6.2443 2.8109 7.2024
Ac 0.0000 0.0000 0.0000
Pm 5.1743 5.2599 5.9563
Pm 0.6390 2.0614 3.6612
Se 3.5920 5.7036 8.4047
Pm 1.2829 4.1422 7.2867
Pm 4.0075 1.1327 6.1010
Se 2.2972 1.6401 1.2089
Se 6.7587 4.6991 3.4880
Pm 4.5280 3.1696 2.3484
Se 5.5899 0.6890 3.6526
! total magnetic moment = 0.000 μB/f.u.
! density of states at the Fermi level = 5.4 states/eV/f.u.
! volume = 27.008 A^3/atom
! formation energy (no corrections) = -1.831 eV/atom

=====

! NaMnIn2 (GGA-PBE, relaxed); values from VASP
&SYSTEM
  ibrav = 0, nat = 4, ntyp = 3
/
ATOMIC_SPECIES
Na 22.99 Na.upf
Mn 54.94 Mn.upf
In 114.82 In.upf
CELL_PARAMETERS angstrom
3.2880 0.0000 0.0000
1.6440 2.8475 0.0000
1.6440 0.9492 9.9265
ATOMIC_POSITIONS angstrom
Na 3.2880 1.8983 4.9633
Mn 0.0000 0.0000 0.0000
In 4.9320 2.8475 7.7113
In 1.6440 0.9492 2.2152
! relative energy among the computed polymorphs = 0.115 eV/atom
! total magnetic moment = 4.036 μB/f.u.
! density of states at the Fermi level = 2.8 states/eV/f.u.
! volume = 23.235 A^3/atom

=====

! NdThSb (GGA-PBE, relaxed); values from VASP
&SYSTEM
  ibrav = 0, nat = 3, ntyp = 3
/
ATOMIC_SPECIES
Th 232.04 Th.upf
Nd 144.24 Nd.upf
Sb 121.76 Sb.upf
CELL_PARAMETERS angstrom
3.7194 0.0000 0.0000
0.0000 5.4123 0.0000
0.0000 -2.7062 4.6872
ATOMIC_POSITIONS angstrom
Th 0.2654 0.0000 0.0000
Nd 2.2008 2.7062 1.5624
Sb 1.2532 0.0000 3.1248
! total magnetic moment = 0.001 μB/f.u.
! density of states at the Fermi level = 4.0 states/eV/f.u.
! volume = 31.452 A^3/atom
! formation energy (no corrections) = -0.228 eV/atom